(1)
DFT (GGA-PBE) results for a relaxed Er2Al3Si2 crystal.

a b c (Å): 4.033 5.435 6.574
angles (deg): 100.11 90.04 111.77
Positions (direct):
Si1 0.906 0.812 0.360
Er1 0.619 0.238 0.323
Al1 0.696 0.391 0.867
Er2 0.381 0.762 0.677
Si2 0.094 0.188 0.640
Al2 0.000 0.000 0.000
Al3 0.304 0.609 0.133

**ρ**: 5.96 g cm⁻³
**V**: 131 Å³/cell
**Raw formation energy**: -0.541 eV/atom


(2)
DFT (GGA-PBE) results for a relaxed PmSm2Y crystal.

a b c (Å): 3.619 3.619 10.248
angles (deg): 90.00 90.00 90.00
Positions (direct):
Pm1 0.500 0.500 0.500
Y1 0.500 0.500 0.000
Sm1 0.000 0.000 0.248
Sm2 0.000 0.000 0.752

**Formation energy from the elements**: 0.016 eV/atom
**ΔE to the lowest computed polymorph**: 7 meV/atom
**ρ**: 6.61 g cm⁻³
**V**: 134 Å³/cell


(3)
DFT (GGA-PBE) results for a relaxed Cu3PbF crystal.

a b c (Å): 4.312 4.312 4.312
angles (deg): 90.00 90.00 90.00
Positions (direct):
F1 0.000 0.000 0.000
Pb1 0.500 0.500 0.500
Cu1 0.000 0.000 0.500
Cu2 0.500 0.000 0.000
Cu3 0.000 0.500 0.000

**ΔE to the lowest computed polymorph**: 0 meV/atom
**ρ**: 8.63 g cm⁻³
**V**: 80 Å³/cell
**Raw formation energy**: 0.044 eV/atom


(4)
DFT (GGA-PBE) results for a relaxed LaNd6Ho12 crystal.

a b c (Å): 8.757 8.757 8.757
angles (deg): 98.78 98.78 98.78
Positions (direct):
Ho1 0.919 0.644 0.644
Ho2 0.356 0.081 0.356
Ho3 0.500 0.243 0.757
Ho4 0.757 0.500 0.243
Ho5 0.757 0.243 0.500
Nd1 0.654 0.100 0.100
La1 0.000 0.000 0.000
Ho6 0.356 0.356 0.081
Ho7 0.243 0.500 0.757
Nd2 0.900 0.346 0.900
Ho8 0.500 0.757 0.243
Ho9 0.644 0.644 0.919
Ho10 0.081 0.356 0.356
Nd3 0.100 0.100 0.654
Nd4 0.346 0.900 0.900
Ho11 0.243 0.757 0.500
Ho12 0.644 0.919 0.644
Nd5 0.100 0.654 0.100
Nd6 0.900 0.900 0.346

**Formation energy from the elements**: 0.205 eV/atom
**ΔE to the lowest computed polymorph**: 96 meV/atom
**ρ**: 7.68 g cm⁻³
**V**: 645 Å³/cell


(5)
DFT (GGA-PBE) results for a relaxed GdMgHg2 crystal.

a b c (Å): 3.806 5.056 5.056
angles (deg): 90.00 90.00 90.00
Positions (direct):
Mg1 0.500 0.500 0.500
Hg1 0.000 0.500 0.000
Gd1 0.500 0.000 0.000
Hg2 0.000 0.000 0.500

**Formation energy from the elements**: -0.380 eV/atom
**ρ**: 9.95 g cm⁻³
**V**: 97 Å³/cell


(6)
DFT (GGA-PBE) results for a relaxed Pm3NdEr2Te6 crystal.

a b c (Å): 4.385 8.922 9.900
angles (deg): 103.06 102.79 90.00
Positions (direct):
Te1 0.005 0.254 0.010
Pm1 0.840 0.167 0.680
Er1 0.836 0.670 0.671
Pm2 0.500 0.500 0.000
Pm3 0.160 0.833 0.320
Te2 0.330 0.906 0.659
Nd1 0.500 0.000 0.000
Te3 0.670 0.094 0.341
Te4 0.995 0.746 0.990
Er2 0.164 0.330 0.329
Te5 0.671 0.577 0.341
Te6 0.329 0.423 0.659

**ρ**: 7.59 g cm⁻³
**V**: 367 Å³/cell
**Raw formation energy**: -1.348 eV/atom


Which of these has the lowest V? Cu3PbF